The following is a DFT calculation (GGA-PBEsol) of a geometry-optimized BTeP2N structure.

Computed properties:
- crystal system = tetragonal
- ΔE_f (raw) (meV/atom) = 1402

Cell: 3.6171 3.6171 6.8095 Å, 90.00 90.00 90.00°
With the nearest neighbours (Å) after each atom.
Element x y z (fractional)
B: 0.0000 0.0000 0.0000  4 Te 2.56
Te: 0.5000 0.5000 0.0000  4 B 2.56
P: 0.0000 0.5000 0.5000  2 N 1.81
P: 0.5000 0.0000 0.5000  2 N 1.81
N: 0.5000 0.5000 0.5000  4 P 1.81

The following is a DFT calculation (GGA-PBEsol) of a geometry-optimized YMn3Be structure.

Computed properties:
- crystal system = cubic
- DFT total energy (eV/atom) = -7.5462

Cell: 4.1855 4.1855 4.1855 Å, 90.00 90.00 90.00°
With the nearest neighbours (Å) after each atom.
Element x y z (fractional)
Y: 0.0000 0.0000 0.0000  12 Mn 2.96
Mn: 0.0000 0.5000 0.5000  2 Be 2.09
Mn: 0.5000 0.0000 0.5000  2 Be 2.09
Mn: 0.5000 0.5000 0.0000  2 Be 2.09
Be: 0.5000 0.5000 0.5000  6 Mn 2.09

The following is a DFT calculation (GGA-PBEsol) of a geometry-optimized NaTbPd6O8 structure.

Computed properties:
- crystal system = cubic
- ΔE_f (raw) (meV/atom) = -1155

Cell: 5.7218 5.7218 5.7218 Å, 90.00 90.00 90.00°
With the nearest neighbours (Å) after each atom.
Element x y z (fractional)
Na: 0.0000 0.0000 0.0000  8 O 2.55
Tb: 0.5000 0.5000 0.5000  8 O 2.40
Pd: 0.0000 0.2493 0.5000  4 O 2.02
Pd: 0.0000 0.7507 0.5000  4 O 2.02
Pd: 0.2493 0.5000 0.0000  4 O 2.02
Pd: 0.5000 0.0000 0.2493  4 O 2.02
Pd: 0.5000 0.0000 0.7507  4 O 2.02
Pd: 0.7507 0.5000 0.0000  4 O 2.02
O: 0.2578 0.2578 0.2578  3 Pd 2.02
O: 0.2578 0.2578 0.7422  3 Pd 2.02
O: 0.2578 0.7422 0.2578  3 Pd 2.02
O: 0.2578 0.7422 0.7422  3 Pd 2.02
O: 0.7422 0.2578 0.2578  3 Pd 2.02
O: 0.7422 0.2578 0.7422  3 Pd 2.02
O: 0.7422 0.7422 0.2578  3 Pd 2.02
O: 0.7422 0.7422 0.7422  3 Pd 2.02

The following is a DFT calculation (GGA-PBEsol) of a geometry-optimized InCu3Te structure.

Computed properties:
- crystal system = cubic
- ΔE_f (raw) (meV/atom) = 884

Cell: 4.7512 4.7512 4.7512 Å, 90.00 90.00 90.00°
With the nearest neighbours (Å) after each atom.
Element x y z (fractional)
In: 0.0000 0.0000 0.0000  6 Cu 2.38
Cu: 0.0000 0.0000 0.5000  2 In 2.38
Cu: 0.0000 0.5000 0.0000  2 In 2.38
Cu: 0.5000 0.0000 0.0000  2 In 2.38
Te: 0.5000 0.5000 0.5000  12 Cu 3.36

The following is a DFT calculation (GGA-PBEsol) of a geometry-optimized Mo2Pt structure.

Computed properties:
- offset from the most stable computed form (meV/atom) = 920
- crystal system = cubic

Cell: 4.2369 4.2369 4.2369 Å, 60.00 60.00 60.00°
With the nearest neighbours (Å) after each atom.
Element x y z (fractional)
Mo: 0.2500 0.2500 0.2500  4 Pt 2.59
Mo: 0.7500 0.7500 0.7500  4 Pt 2.59
Pt: 0.0000 0.0000 0.0000  8 Mo 2.59

The following is a DFT calculation (GGA-PBEsol) of a geometry-optimized Tm3In structure.

Computed properties:
- crystal system = hexagonal
- DFT total energy (eV/atom) = -4.7025

Cell: 6.6887 6.6887 5.3528 Å, 90.00 90.00 120.00°
With the nearest neighbours (Å) after each atom.
Element x y z (fractional)
Tm: 0.1707 0.3414 0.2500  8 Tm 3.26-3.43, 4 In 3.27-3.34
Tm: 0.1707 0.8293 0.2500  8 Tm 3.26-3.43, 4 In 3.27-3.34
Tm: 0.3414 0.1707 0.7500  8 Tm 3.26-3.43, 4 In 3.27-3.34
Tm: 0.6586 0.8293 0.2500  8 Tm 3.26-3.43, 4 In 3.27-3.34
Tm: 0.8293 0.1707 0.7500  8 Tm 3.26-3.43, 4 In 3.27-3.34
Tm: 0.8293 0.6586 0.7500  8 Tm 3.26-3.43, 4 In 3.27-3.34
In: 0.3333 0.6667 0.7500  12 Tm 3.27-3.34
In: 0.6667 0.3333 0.2500  12 Tm 3.27-3.34

The following is a DFT calculation (GGA-PBEsol) of a geometry-optimized CaBeMo structure.

Computed properties:
- crystal system = cubic
- DFT total energy (eV/atom) = -3.9835

Cell: 4.4931 4.4931 4.4931 Å, 60.00 60.00 60.00°
With the nearest neighbours (Å) after each atom.
Element x y z (fractional)
Ca: 0.0000 0.0000 0.0000  4 Mo 2.75, 4 Be 2.75
Be: 0.2500 0.2500 0.2500  4 Ca 2.75
Mo: 0.7500 0.7500 0.7500  4 Ca 2.75

The following is a DFT calculation (GGA-PBEsol) of a geometry-optimized TaSiOs2 structure.

Computed properties:
- crystal system = tetragonal
- ΔE_f (raw) (meV/atom) = -379

Cell: 2.9671 2.9671 6.4192 Å, 90.00 90.00 90.00°
With the nearest neighbours (Å) after each atom.
Element x y z (fractional)
Ta: 0.0000 0.0000 0.0000  8 Os 2.76, 4 Ta 2.97
Si: 0.0000 0.0000 0.5000  8 Os 2.53
Os: 0.5000 0.5000 0.2799  4 Si 2.53, 4 Ta 2.76, 1 Os 2.83
Os: 0.5000 0.5000 0.7201  4 Si 2.53, 4 Ta 2.76, 1 Os 2.83

The following is a DFT calculation (GGA-PBEsol) of a geometry-optimized Zr4Ir2N structure.

Computed properties:
- crystal system = cubic
- ΔE_f (raw) (meV/atom) = -1137

Cell: 8.7136 8.7136 8.7136 Å, 60.00 60.00 60.00°
With the nearest neighbours (Å) after each atom.
Element x y z (fractional)
Zr: 0.0000 0.0000 0.0000  6 Ir 2.72
Zr: 0.0000 0.0000 0.5000  6 Ir 2.72
Zr: 0.0000 0.5000 0.0000  6 Ir 2.72
Zr: 0.1910 0.1910 0.5589  2 N 2.30
Zr: 0.1910 0.5589 0.1910  2 N 2.30
Zr: 0.1910 0.5589 0.5589  2 N 2.30
Zr: 0.4410 0.4410 0.8089  2 N 2.30
Zr: 0.4410 0.8089 0.4410  2 N 2.30
Zr: 0.4410 0.8089 0.8089  2 N 2.30
Zr: 0.5000 0.0000 0.0000  6 Ir 2.72
Zr: 0.5589 0.1910 0.1910  2 N 2.30
Zr: 0.5589 0.1910 0.5589  2 N 2.30
Zr: 0.5589 0.5589 0.1910  2 N 2.30
Zr: 0.8089 0.4410 0.4410  2 N 2.30
Zr: 0.8089 0.4410 0.8089  2 N 2.30
Zr: 0.8089 0.8089 0.4410  2 N 2.30
Ir: 0.1466 0.7845 0.7845  6 Zr 2.72-2.80
Ir: 0.2155 0.2155 0.2155  6 Zr 2.72-2.80
Ir: 0.2155 0.2155 0.8534  6 Zr 2.72-2.80
Ir: 0.2155 0.8534 0.2155  6 Zr 2.72-2.80
Ir: 0.7845 0.1466 0.7845  6 Zr 2.72-2.80
Ir: 0.7845 0.7845 0.1466  6 Zr 2.72-2.80
Ir: 0.7845 0.7845 0.7845  6 Zr 2.72-2.80
Ir: 0.8534 0.2155 0.2155  6 Zr 2.72-2.80
N: 0.0000 0.5000 0.5000  6 Zr 2.30
N: 0.5000 0.0000 0.5000  6 Zr 2.30
N: 0.5000 0.5000 0.0000  6 Zr 2.30
N: 0.5000 0.5000 0.5000  6 Zr 2.30

The following is a DFT calculation (GGA-PBEsol) of a geometry-optimized CdTe2C structure.

Computed properties:
- offset from the most stable computed form (meV/atom) = 0
- crystal system = trigonal
- ΔE_f (raw) (meV/atom) = 976

Cell: 7.4953 7.4953 7.4953 Å, 35.15 35.15 35.15°
With the nearest neighbours (Å) after each atom.
Element x y z (fractional)
Cd: 0.0000 0.0000 0.0000  6 Te 3.05
Te: 0.4078 0.4078 0.4078  1 C 1.94
Te: 0.5922 0.5922 0.5922  1 C 1.94
C: 0.5000 0.5000 0.5000  2 Te 1.94

The following is a DFT calculation (GGA-PBEsol) of a geometry-optimized La2Hg structure.

Computed properties:
- crystal system = hexagonal
- DFT total energy (eV/atom) = -4.0956

Cell: 5.3940 5.3940 7.0516 Å, 90.00 90.00 120.00°
With the nearest neighbours (Å) after each atom.
Element x y z (fractional)
La: 0.0000 0.0000 0.0000  8 La 3.53-3.58, 6 Hg 3.58
La: 0.0000 0.0000 0.5000  8 La 3.53-3.58, 6 Hg 3.58
La: 0.3333 0.6667 0.2500  3 Hg 3.11
La: 0.6667 0.3333 0.7500  3 Hg 3.11
Hg: 0.3333 0.6667 0.7500  3 La 3.11
Hg: 0.6667 0.3333 0.2500  3 La 3.11

The following is a DFT calculation (GGA-PBEsol) of a geometry-optimized TlIrS3 structure.

Computed properties:
- crystal system = cubic
- ΔE_f (raw) (meV/atom) = 1827

Cell: 4.9138 4.9138 4.9138 Å, 90.00 90.00 90.00°
With the nearest neighbours (Å) after each atom.
Element x y z (fractional)
Tl: 0.0000 0.0000 0.0000  6 S 2.46
Ir: 0.5000 0.5000 0.5000  12 S 3.47
S: 0.0000 0.0000 0.5000  2 Tl 2.46
S: 0.0000 0.5000 0.0000  2 Tl 2.46
S: 0.5000 0.0000 0.0000  2 Tl 2.46

The following is a DFT calculation (GGA-PBEsol) of a geometry-optimized Mn2NiSn structure.

Computed properties:
- crystal system = cubic
- DFT total energy (eV/atom) = -7.3760

Cell: 4.1987 4.1987 4.1987 Å, 60.00 60.00 60.00°
With the nearest neighbours (Å) after each atom.
Element x y z (fractional)
Mn: 0.0000 0.0000 0.0000  4 Mn 2.57, 4 Sn 2.57
Mn: 0.2500 0.2500 0.2500  4 Ni 2.57, 4 Mn 2.57
Ni: 0.5000 0.5000 0.5000  4 Sn 2.57, 4 Mn 2.57
Sn: 0.7500 0.7500 0.7500  4 Ni 2.57, 4 Mn 2.57

The following is a DFT calculation (GGA-PBEsol) of a geometry-optimized BWNO2 structure.

Computed properties:
- crystal system = tetragonal
- ΔE_f (raw) (meV/atom) = -70

Cell: 3.8262 3.8262 3.9675 Å, 90.00 90.00 90.00°
With the nearest neighbours (Å) after each atom.
Element x y z (fractional)
B: 0.0000 0.0000 0.0000  4 N 2.71, 8 O 2.76
W: 0.5000 0.5000 0.5000  4 O 1.91, 2 N 1.98
N: 0.5000 0.5000 0.0000  2 W 1.98
O: 0.0000 0.5000 0.5000  2 W 1.91
O: 0.5000 0.0000 0.5000  2 W 1.91

The following is a DFT calculation (GGA-PBEsol) of a geometry-optimized ZrAlSb2Te structure.

Computed properties:
- offset from the most stable computed form (meV/atom) = 245
- crystal system = tetragonal
- ΔE_f (raw) (meV/atom) = 550

Cell: 5.0890 5.0890 5.2567 Å, 90.00 90.00 90.00°
With the nearest neighbours (Å) after each atom.
Element x y z (fractional)
Zr: 0.0000 0.0000 0.0000  4 Te 3.60, 8 Sb 3.66
Al: 0.5000 0.5000 0.5000  4 Sb 2.54, 2 Te 2.63
Sb: 0.0000 0.5000 0.5000  2 Al 2.54
Sb: 0.5000 0.0000 0.5000  2 Al 2.54
Te: 0.5000 0.5000 0.0000  2 Al 2.63

The following is a DFT calculation (GGA-PBEsol) of a geometry-optimized TiSCl6O structure.

Computed properties:
- crystal system = triclinic
- ΔE_f (raw) (meV/atom) = -1122

Cell: 6.2671 7.8832 11.0459 Å, 69.39 86.44 67.00°
With the nearest neighbours (Å) after each atom.
Element x y z (fractional)
Ti: 0.1559 0.2702 0.1450  5 Cl 2.19-2.45, 1 O 2.21
Ti: 0.8441 0.7298 0.8550  5 Cl 2.19-2.45, 1 O 2.21
S: 0.3392 0.5174 0.6991  1 O 1.47
S: 0.6608 0.4826 0.3009  1 O 1.47
Cl: 0.0925 0.6191 0.0532  2 Ti 2.45
Cl: 0.1064 0.9886 0.2090  1 Ti 2.22
Cl: 0.2307 0.7227 0.5132  1 S 2.07
Cl: 0.2316 0.3110 0.6831  1 S 2.05
Cl: 0.3053 0.2500 0.3293  1 Ti 2.22
Cl: 0.4788 0.1825 0.0509  1 Ti 2.19
Cl: 0.5212 0.8175 0.9491  1 Ti 2.19
Cl: 0.6947 0.7500 0.6707  1 Ti 2.22
Cl: 0.7684 0.6890 0.3169  1 S 2.05
Cl: 0.7693 0.2773 0.4868  1 S 2.07
Cl: 0.8936 0.0114 0.7910  1 Ti 2.22
Cl: 0.9075 0.3809 0.9468  2 Ti 2.45
O: 0.1912 0.6059 0.7873  1 S 1.47
O: 0.8088 0.3941 0.2127  1 S 1.47

The following is a DFT calculation (GGA-PBEsol) of a geometry-optimized TaSi2Tc structure.

Computed properties:
- offset from the most stable computed form (meV/atom) = 333
- crystal system = cubic
- ΔE_f (raw) (meV/atom) = -228

Cell: 4.2966 4.2966 4.2966 Å, 60.00 60.00 60.00°
With the nearest neighbours (Å) after each atom.
Element x y z (fractional)
Ta: 0.0000 0.0000 0.0000  8 Si 2.63
Si: 0.2500 0.2500 0.2500  4 Ta 2.63, 4 Tc 2.63
Si: 0.7500 0.7500 0.7500  4 Ta 2.63, 4 Tc 2.63
Tc: 0.5000 0.5000 0.5000  8 Si 2.63

The following is a DFT calculation (GGA-PBEsol) of a geometry-optimized Tl2InP structure.

Computed properties:
- offset from the most stable computed form (meV/atom) = 111
- crystal system = tetragonal

Cell: 5.6834 5.6834 5.6834 Å, 132.61 132.61 69.27°
With the nearest neighbours (Å) after each atom.
Element x y z (fractional)
Tl: 0.2500 0.7500 0.5000  4 Tl 3.23, 4 In 3.27, 4 P 3.27
Tl: 0.7500 0.2500 0.5000  4 Tl 3.23, 4 In 3.27, 4 P 3.27
In: 0.0000 0.0000 0.0000  4 P 3.23, 8 Tl 3.27
P: 0.5000 0.5000 0.0000  4 In 3.23, 8 Tl 3.27

The following is a DFT calculation (GGA-PBEsol) of a geometry-optimized AlTl structure.

Computed properties:
- crystal system = trigonal
- DFT total energy (eV/atom) = -3.1620

Cell: 3.2839 3.2839 9.8739 Å, 90.00 90.00 120.00°
With the nearest neighbours (Å) after each atom.
Element x y z (fractional)
Al: 0.3333 0.6667 0.1019  3 Al 2.76
Al: 0.6667 0.3333 0.8981  3 Al 2.76
Tl: 0.3333 0.6667 0.6480  3 Al 3.11, 9 Tl 3.28-3.48
Tl: 0.6667 0.3333 0.3520  3 Al 3.11, 9 Tl 3.28-3.48

The following is a DFT calculation (GGA-PBEsol) of a geometry-optimized InTe2Pt structure.

Computed properties:
- crystal system = orthorhombic
- ΔE_f (raw) (meV/atom) = 115

Cell: 3.4246 3.5031 7.8968 Å, 90.00 90.00 90.00°
With the nearest neighbours (Å) after each atom.
Element x y z (fractional)
In: 0.0000 0.0000 0.0000  8 Te 3.41, 4 In 3.42-3.50
Te: 0.5000 0.5000 0.2999  4 Pt 2.91, 1 Te 3.16
Te: 0.5000 0.5000 0.7001  4 Pt 2.91, 1 Te 3.16
Pt: 0.0000 0.0000 0.5000  8 Te 2.91

The following is a DFT calculation (GGA-PBEsol) of a geometry-optimized CoSb2TeSe structure.

Computed properties:
- crystal system = tetragonal
- ΔE_f (raw) (meV/atom) = 303

Cell: 4.8266 4.8266 5.0106 Å, 90.00 90.00 90.00°
With the nearest neighbours (Å) after each atom.
Element x y z (fractional)
Co: 0.0000 0.0000 0.0000  4 Sb 2.41, 2 Te 2.51
Sb: 0.0000 0.5000 0.0000  2 Co 2.41
Sb: 0.5000 0.0000 0.0000  2 Co 2.41
Te: 0.0000 0.0000 0.5000  2 Co 2.51
Se: 0.5000 0.5000 0.5000  4 Te 3.41, 8 Sb 3.48

The following is a DFT calculation (GGA-PBEsol) of a geometry-optimized CsMnI2Cl structure.

Computed properties:
- crystal system = tetragonal
- ΔE_f (raw) (meV/atom) = -978

Cell: 5.8087 5.8087 4.9502 Å, 90.00 90.00 90.00°
With the nearest neighbours (Å) after each atom.
Element x y z (fractional)
Cs: 0.0000 0.0000 0.0000  8 I 3.82, 4 Cl 4.11
Mn: 0.5000 0.5000 0.5000  2 Cl 2.48
I: 0.0000 0.5000 0.5000  2 Mn 2.90
I: 0.5000 0.0000 0.5000  2 Mn 2.90
Cl: 0.5000 0.5000 0.0000  2 Mn 2.48

The following is a DFT calculation (GGA-PBEsol) of a geometry-optimized Ba2MnAs structure.

Computed properties:
- crystal system = orthorhombic
- DFT total energy (eV/atom) = -5.0069

Cell: 7.0197 7.0197 7.0197 Å, 145.70 139.48 54.11°
With the nearest neighbours (Å) after each atom.
Element x y z (fractional)
Ba: 0.0000 0.0000 0.0000  4 As 3.37, 2 Mn 3.50, 2 Ba 3.66
Ba: 0.7189 0.2189 0.5000  4 Mn 3.34, 2 As 3.44, 2 Ba 3.66
Mn: 0.2982 0.7982 0.5000  2 As 2.52
As: 0.4135 0.4135 0.0000  2 Mn 2.52

The following is a DFT calculation (GGA-PBEsol) of a geometry-optimized MnAsCl2 structure.

Computed properties:
- offset from the most stable computed form (meV/atom) = 123
- crystal system = orthorhombic
- ΔE_f (raw) (meV/atom) = -135

Cell: 7.0092 7.0092 7.0092 Å, 153.58 144.10 45.12°
With the nearest neighbours (Å) after each atom.
Element x y z (fractional)
Mn: 0.0000 0.0000 0.0000  4 Cl 2.49, 4 As 2.69
As: 0.5000 0.5000 0.0000  4 Mn 2.69, 4 Cl 2.88
Cl: 0.1472 0.6472 0.5000  2 Mn 2.49
Cl: 0.8528 0.3528 0.5000  2 Mn 2.49

The following is a DFT calculation (GGA-PBEsol) of a geometry-optimized SrCdPt2 structure.

Computed properties:
- crystal system = monoclinic
- DFT total energy (eV/atom) = -4.5890

Cell: 5.5948 5.5948 5.0680 Å, 105.48 105.48 31.02°
With the nearest neighbours (Å) after each atom.
Element x y z (fractional)
Sr: 0.0000 0.0000 0.0000  7 Pt 2.95-3.07, 2 Sr 2.99, 1 Cd 3.22
Cd: 0.2021 0.2021 0.6377  7 Pt 2.92-3.10, 2 Cd 2.99, 1 Sr 3.22
Pt: 0.4603 0.4603 0.4825  4 Pt 2.76-2.99, 2 Cd 2.92, 4 Sr 2.95-3.00
Pt: 0.7583 0.7583 0.1684  4 Pt 2.76-2.99, 3 Sr 2.96-3.07, 4 Cd 2.99-3.01

The following is a DFT calculation (GGA-PBEsol) of a geometry-optimized In2OsRh structure.

Computed properties:
- offset from the most stable computed form (meV/atom) = 251
- crystal system = tetragonal

Cell: 3.4057 3.4057 5.8450 Å, 90.00 90.00 90.00°
With the nearest neighbours (Å) after each atom.
Element x y z (fractional)
In: 0.0000 0.0000 0.0000  4 Rh 2.69, 1 Os 2.81, 4 In 3.01
In: 0.5000 0.5000 0.3084  4 Os 2.71, 2 Rh 2.85-3.00, 4 In 3.01
Os: 0.0000 0.0000 0.5199  5 In 2.71-2.81, 4 Rh 2.90
Rh: 0.5000 0.5000 0.7956  6 In 2.69-3.00, 4 Os 2.90

The following is a DFT calculation (GGA-PBEsol) of a geometry-optimized CsSbI2O structure.

Computed properties:
- offset from the most stable computed form (meV/atom) = 1357
- crystal system = tetragonal
- ΔE_f (raw) (meV/atom) = 426

Cell: 6.6472 6.6472 4.1998 Å, 90.00 90.00 90.00°
With the nearest neighbours (Å) after each atom.
Element x y z (fractional)
Cs: 0.0000 0.0000 0.0000  2 O 2.10
Sb: 0.5000 0.5000 0.5000  8 I 3.93, 2 Sb 4.20
I: 0.0000 0.5000 0.0000  2 Cs 3.32
I: 0.5000 0.0000 0.0000  2 Cs 3.32
O: 0.0000 0.0000 0.5000  2 Cs 2.10